Crystalline TmSc2Te at its relaxed geometry. Source: the Open Quantum Materials Database, functional GGA-PBE.

Cell lengths 3.790, 11.486, 9.095 Å; angles 90.00, 90.00, 90.00 degrees
Space group Cmcm (No. 63)
Unique sites:
Tm  0.000  0.050  0.250 x4
Sc  0.000  0.364  0.036 x8
Te  0.000  0.234  0.750 x4

Properties
**Total energy**: -5.696 eV per atom

=====

Crystalline ScUTe at its relaxed geometry. Source: the Open Quantum Materials Database, functional GGA-PBE.

Cell lengths 7.208, 7.208, 7.208 Å; angles 90.00, 90.00, 90.00 degrees
Space group F-43m (No. 216)
Unique sites:
Sc  0.000  0.000  0.000 x4
U  0.250  0.250  0.250 x4
Te  0.000  0.000  0.500 x4

Properties
**Energy above the lowest structure with this stoichiometry**: 1.31 eV per formula unit

=====

Crystalline ScUTe at its relaxed geometry. Source: the Open Quantum Materials Database, functional GGA-PBE.

Cell lengths 7.022, 7.022, 7.022 Å; angles 90.00, 90.00, 90.00 degrees
Space group F-43m (No. 216)
Unique sites:
Sc  0.000  0.000  0.000 x4
U  0.000  0.000  0.500 x4
Te  0.250  0.250  0.250 x4

Properties
**Energy above the lowest structure with this stoichiometry**: 0.00 eV per formula unit

=====

Question: Number 3 is which compound?
Answer: ScUTe